# AsIr2Ru | the Alexandria database | GGA-PBE | optimized geometry
data_AsIr2Ru
_symmetry_space_group_name_H-M 'P m m 2'
_symmetry_Int_Tables_number 25
_cell_length_a 2.815
_cell_length_b 3.742
_cell_length_c 5.635
_cell_angle_alpha 90.00
_cell_angle_beta 90.00
_cell_angle_gamma 90.00
loop_
_symmetry_equiv_pos_as_xyz
'x,y,z'
'-x,-y,z'
'-x,y,z'
'x,-y,z'
loop_
_atom_site_label
_atom_site_type_symbol
_atom_site_fract_x
_atom_site_fract_y
_atom_site_fract_z
As1 As 0.000 0.000 0.000
Ir1 Ir 0.000 0.000 0.515
Ir2 Ir 0.500 0.500 0.268
Ru1 Ru 0.500 0.500 0.750
# - VASP energy (eV/atom) = -7.695
# - crystal system = orthorhombic
# - M_tot (μB per atom) = 0.000
# - DOS at the Fermi energy (states/eV/f.u.) = 3.74

# CeHoTlRh | the Alexandria database | GGA-PBE | optimized geometry
data_CeHoTlRh
_symmetry_space_group_name_H-M 'F -4 3 m'
_symmetry_Int_Tables_number 216
_symmetry_space_group_name_Hall 'F -4 2 3'
_cell_length_a 7.307
_cell_length_b 7.307
_cell_length_c 7.307
_cell_angle_alpha 90.00
_cell_angle_beta 90.00
_cell_angle_gamma 90.00
loop_
_atom_site_label
_atom_site_type_symbol
_atom_site_fract_x
_atom_site_fract_y
_atom_site_fract_z
Ce1 Ce 0.000 0.000 0.000
Ho1 Ho 0.000 0.000 0.500
Tl1 Tl 0.250 0.250 0.750
Rh1 Rh 0.250 0.250 0.250
# - energy above the most stable polymorph in this dataset (meV/atom) = 172
# - crystal system = cubic
# - M_tot (μB per atom) = 0.158
# - DOS at the Fermi energy (states/eV/f.u.) = 7.46

# Tb2DySn3 | the Alexandria database | GGA-PBE | optimized geometry
data_Tb2DySn3
_symmetry_space_group_name_H-M 'I m m m'
_symmetry_Int_Tables_number 71
_symmetry_space_group_name_Hall '-I 2 2'
_cell_length_a 3.620
_cell_length_b 6.237
_cell_length_c 15.516
_cell_angle_alpha 90.00
_cell_angle_beta 90.00
_cell_angle_gamma 90.00
loop_
_atom_site_label
_atom_site_type_symbol
_atom_site_fract_x
_atom_site_fract_y
_atom_site_fract_z
Tb1 Tb 0.000 0.000 0.167
Dy1 Dy 0.000 0.000 0.500
Sn1 Sn 0.000 0.500 0.166
Sn2 Sn 0.000 0.500 0.500
# - VASP energy (eV/atom) = -4.887
# - crystal system = orthorhombic
# - M_tot (μB per atom) = 0.000
# - DOS at the Fermi energy (states/eV/f.u.) = 3.13